1.
A plane-wave DFT calculation with PBE-GGA was carried out for TaS2Cl5 after structural relaxation.

Properties
E_form (uncorrected) in eV per atom: -0.87
Calculated total energy in eV per atom: -4.5342

The structure in CIF format:
```
data_TaS2Cl5
_chemical_formula_sum 'Ta1 S2 Cl5'
_cell_length_a 6.9490
_cell_length_b 7.5448
_cell_length_c 8.1080
_cell_angle_alpha 70.83
_cell_angle_beta 65.01
_cell_angle_gamma 63.22
_symmetry_space_group_name_H-M 'P 1'
_symmetry_Int_Tables_number 1
loop_
_symmetry_equiv_pos_as_xyz
'x,y,z'
loop_
_atom_site_label
_atom_site_type_symbol
_atom_site_fract_x
_atom_site_fract_y
_atom_site_fract_z
Ta1 Ta 0.0000 0.0000 0.0000
S1 S 0.3281 0.5455 0.5202
S2 S 0.6345 0.4482 0.5146
Cl1 Cl 0.0065 0.2897 0.0249
Cl2 Cl 0.1584 0.0712 0.6798
Cl3 Cl 0.3049 0.7056 0.0079
Cl4 Cl 0.6879 0.0046 0.9664
Cl5 Cl 0.8412 0.9297 0.3202
```

---

2.
A plane-wave DFT calculation with PBE-GGA was carried out for TaS2Cl after structural relaxation.

Properties
E_form (uncorrected) in eV per atom: 0.62
E above lowest polymorph in eV/atom: 1.588
Calculated total energy in eV per atom: -4.8683
DOS at the Fermi energy in states/eV per atom: 1.045

The structure in CIF format:
```
data_TaS2Cl
_chemical_formula_sum 'Ta3 S6 Cl3'
_cell_length_a 3.3088
_cell_length_b 3.3088
_cell_length_c 26.0874
_cell_angle_alpha 90.00
_cell_angle_beta 90.00
_cell_angle_gamma 120.00
_symmetry_space_group_name_H-M 'P 1'
_symmetry_Int_Tables_number 1
loop_
_symmetry_equiv_pos_as_xyz
'x,y,z'
loop_
_atom_site_label
_atom_site_type_symbol
_atom_site_fract_x
_atom_site_fract_y
_atom_site_fract_z
Ta1 Ta 0.0000 0.0000 0.0000
Ta2 Ta 0.3333 0.6667 0.6667
Ta3 Ta 0.6667 0.3333 0.3333
S1 S 0.0000 0.0000 0.0865
S2 S 0.0000 0.0000 0.9135
S3 S 0.3333 0.6667 0.5802
S4 S 0.3333 0.6667 0.7531
S5 S 0.6667 0.3333 0.2469
S6 S 0.6667 0.3333 0.4198
Cl1 Cl 0.0000 0.0000 0.5000
Cl2 Cl 0.3333 0.6667 0.1667
Cl3 Cl 0.6667 0.3333 0.8333
```

---

3.
A plane-wave DFT calculation with PBE-GGA was carried out for TaTcS2Cl after structural relaxation.

Properties
E_form (uncorrected) in eV per atom: 0.36
E above lowest polymorph in eV/atom: 0.000
Calculated total energy in eV per atom: -6.1063
DOS at the Fermi energy in states/eV per atom: 0.758

The structure in CIF format:
```
data_TaTcS2Cl
_chemical_formula_sum 'Ta1 Tc1 S2 Cl1'
_cell_length_a 4.8115
_cell_length_b 4.8115
_cell_length_c 4.7688
_cell_angle_alpha 90.00
_cell_angle_beta 90.00
_cell_angle_gamma 90.00
_symmetry_space_group_name_H-M 'P 1'
_symmetry_Int_Tables_number 1
loop_
_symmetry_equiv_pos_as_xyz
'x,y,z'
loop_
_atom_site_label
_atom_site_type_symbol
_atom_site_fract_x
_atom_site_fract_y
_atom_site_fract_z
Ta1 Ta 0.0000 0.0000 0.0000
Tc1 Tc 0.5000 0.5000 0.5000
S1 S 0.0000 0.5000 0.0000
S2 S 0.5000 0.0000 0.0000
Cl1 Cl 0.0000 0.0000 0.5000
```

---

4.
A plane-wave DFT calculation with PBE-GGA was carried out for TaTcS2Cl after structural relaxation.

Properties
E_form (uncorrected) in eV per atom: 0.88
E above lowest polymorph in eV/atom: 0.521
Calculated total energy in eV per atom: -5.5854
DOS at the Fermi energy in states/eV per atom: 1.731

The structure in CIF format:
```
data_TaTcS2Cl
_chemical_formula_sum 'Ta1 Tc1 S2 Cl1'
_cell_length_a 4.5853
_cell_length_b 4.5853
_cell_length_c 4.5960
_cell_angle_alpha 90.00
_cell_angle_beta 90.00
_cell_angle_gamma 90.00
_symmetry_space_group_name_H-M 'P 1'
_symmetry_Int_Tables_number 1
loop_
_symmetry_equiv_pos_as_xyz
'x,y,z'
loop_
_atom_site_label
_atom_site_type_symbol
_atom_site_fract_x
_atom_site_fract_y
_atom_site_fract_z
Ta1 Ta 0.0000 0.0000 0.0000
Tc1 Tc 0.5000 0.5000 0.5000
S1 S 0.0000 0.5000 0.5000
S2 S 0.5000 0.0000 0.5000
Cl1 Cl 0.5000 0.5000 0.0000
```

---

5.
A plane-wave DFT calculation with PBE-GGA was carried out for TaTiS2Cl after structural relaxation.

Properties
E_form (uncorrected) in eV per atom: -0.04
E above lowest polymorph in eV/atom: 0.000
Calculated total energy in eV per atom: -6.0081
DOS at the Fermi energy in states/eV per atom: 1.054

The structure in CIF format:
```
data_TaTiS2Cl
_chemical_formula_sum 'Ta1 Ti1 S2 Cl1'
_cell_length_a 4.7979
_cell_length_b 4.7979
_cell_length_c 4.7621
_cell_angle_alpha 90.00
_cell_angle_beta 90.00
_cell_angle_gamma 90.00
_symmetry_space_group_name_H-M 'P 1'
_symmetry_Int_Tables_number 1
loop_
_symmetry_equiv_pos_as_xyz
'x,y,z'
loop_
_atom_site_label
_atom_site_type_symbol
_atom_site_fract_x
_atom_site_fract_y
_atom_site_fract_z
Ta1 Ta 0.0000 0.0000 0.0000
Ti1 Ti 0.5000 0.5000 0.5000
S1 S 0.0000 0.5000 0.0000
S2 S 0.5000 0.0000 0.0000
Cl1 Cl 0.0000 0.0000 0.5000
```

---

6.
A plane-wave DFT calculation with PBE-GGA was carried out for TaTi2S2Cl4 after structural relaxation.

Properties
E_form (uncorrected) in eV per atom: -1.36
Calculated total energy in eV per atom: -6.1714
DOS at the Fermi energy in states/eV per atom: 0.491

The structure in CIF format:
```
data_TaTi2S2Cl4
_chemical_formula_sum 'Ta1 Ti2 S2 Cl4'
_cell_length_a 3.3082
_cell_length_b 3.3082
_cell_length_c 20.7967
_cell_angle_alpha 90.00
_cell_angle_beta 90.00
_cell_angle_gamma 120.00
_symmetry_space_group_name_H-M 'P 1'
_symmetry_Int_Tables_number 1
loop_
_symmetry_equiv_pos_as_xyz
'x,y,z'
loop_
_atom_site_label
_atom_site_type_symbol
_atom_site_fract_x
_atom_site_fract_y
_atom_site_fract_z
Ta1 Ta 0.0000 0.0000 0.0000
Ti1 Ti 0.0000 0.0000 0.6576
Ti2 Ti 0.6667 0.3333 0.3249
S1 S 0.6667 0.3333 0.0756
S2 S 0.6667 0.3333 0.9244
Cl1 Cl 0.0000 0.0000 0.2497
Cl2 Cl 0.0000 0.0000 0.4007
Cl3 Cl 0.6667 0.3333 0.5818
Cl4 Cl 0.6667 0.3333 0.7330
```

---

7.
A plane-wave DFT calculation with PBE-GGA was carried out for TaTiSCl2 after structural relaxation.

Properties
E_form (uncorrected) in eV per atom: 0.19
E above lowest polymorph in eV/atom: 0.046
Calculated total energy in eV per atom: -5.3279
DOS at the Fermi energy in states/eV per atom: 1.533

The structure in CIF format:
```
data_TaTiSCl2
_chemical_formula_sum 'Ta1 Ti1 S1 Cl2'
_cell_length_a 4.6537
_cell_length_b 4.6537
_cell_length_c 4.9312
_cell_angle_alpha 90.00
_cell_angle_beta 90.00
_cell_angle_gamma 90.00
_symmetry_space_group_name_H-M 'P 1'
_symmetry_Int_Tables_number 1
loop_
_symmetry_equiv_pos_as_xyz
'x,y,z'
loop_
_atom_site_label
_atom_site_type_symbol
_atom_site_fract_x
_atom_site_fract_y
_atom_site_fract_z
Ta1 Ta 0.0000 0.0000 0.0000
Ti1 Ti 0.5000 0.5000 0.5000
S1 S 0.5000 0.5000 0.0000
Cl1 Cl 0.0000 0.5000 0.5000
Cl2 Cl 0.5000 0.0000 0.5000
```

---

8.
A plane-wave DFT calculation with PBE-GGA was carried out for TaTiS2Cl after structural relaxation.

Properties
E_form (uncorrected) in eV per atom: 0.14
E above lowest polymorph in eV/atom: 0.177
Calculated total energy in eV per atom: -5.8312
DOS at the Fermi energy in states/eV per atom: 1.217

The structure in CIF format:
```
data_TaTiS2Cl
_chemical_formula_sum 'Ta1 Ti1 S2 Cl1'
_cell_length_a 4.7395
_cell_length_b 4.7395
_cell_length_c 4.5220
_cell_angle_alpha 90.00
_cell_angle_beta 90.00
_cell_angle_gamma 90.00
_symmetry_space_group_name_H-M 'P 1'
_symmetry_Int_Tables_number 1
loop_
_symmetry_equiv_pos_as_xyz
'x,y,z'
loop_
_atom_site_label
_atom_site_type_symbol
_atom_site_fract_x
_atom_site_fract_y
_atom_site_fract_z
Ta1 Ta 0.0000 0.0000 0.0000
Ti1 Ti 0.5000 0.5000 0.5000
S1 S 0.0000 0.5000 0.5000
S2 S 0.5000 0.0000 0.5000
Cl1 Cl 0.5000 0.5000 0.0000
```

---

9.
A plane-wave DFT calculation with PBE-GGA was carried out for TaTiSCl2 after structural relaxation.

Properties
E_form (uncorrected) in eV per atom: 0.14
E above lowest polymorph in eV/atom: 0.000
Calculated total energy in eV per atom: -5.3741
DOS at the Fermi energy in states/eV per atom: 2.409

The structure in CIF format:
```
data_TaTiSCl2
_chemical_formula_sum 'Ta1 Ti1 S1 Cl2'
_cell_length_a 4.8339
_cell_length_b 4.8339
_cell_length_c 4.7908
_cell_angle_alpha 90.00
_cell_angle_beta 90.00
_cell_angle_gamma 90.00
_symmetry_space_group_name_H-M 'P 1'
_symmetry_Int_Tables_number 1
loop_
_symmetry_equiv_pos_as_xyz
'x,y,z'
loop_
_atom_site_label
_atom_site_type_symbol
_atom_site_fract_x
_atom_site_fract_y
_atom_site_fract_z
Ta1 Ta 0.0000 0.0000 0.0000
Ti1 Ti 0.5000 0.5000 0.5000
S1 S 0.0000 0.0000 0.5000
Cl1 Cl 0.0000 0.5000 0.0000
Cl2 Cl 0.5000 0.0000 0.0000
```

---

10.
A plane-wave DFT calculation with PBE-GGA was carried out for TaTiS3Cl after structural relaxation.

Properties
E_form (uncorrected) in eV per atom: -1.23
Calculated total energy in eV per atom: -6.8970
DOS at the Fermi energy in states/eV per atom: 0.435

The structure in CIF format:
```
data_TaTiS3Cl
_chemical_formula_sum 'Ta2 Ti2 S6 Cl2'
_cell_length_a 8.4050
_cell_length_b 8.4050
_cell_length_c 9.7605
_cell_angle_alpha 90.00
_cell_angle_beta 90.00
_cell_angle_gamma 156.55
_symmetry_space_group_name_H-M 'P 1'
_symmetry_Int_Tables_number 1
loop_
_symmetry_equiv_pos_as_xyz
'x,y,z'
loop_
_atom_site_label
_atom_site_type_symbol
_atom_site_fract_x
_atom_site_fract_y
_atom_site_fract_z
Ta1 Ta 0.0000 0.0000 0.0000
Ta2 Ta 0.0000 0.0000 0.5000
Ti1 Ti 0.4071 0.5929 0.7500
Ti2 Ti 0.5929 0.4071 0.2500
S1 S 0.0148 0.9852 0.7500
S2 S 0.3906 0.6094 0.5031
S3 S 0.3906 0.6094 0.9969
S4 S 0.6094 0.3906 0.0031
S5 S 0.6094 0.3906 0.4969
S6 S 0.9852 0.0148 0.2500
Cl1 Cl 0.1999 0.8001 0.2500
Cl2 Cl 0.8001 0.1999 0.7500
```

---

11.
A plane-wave DFT calculation with PBE-GGA was carried out for TaTl2SCl5 after structural relaxation.

Properties
E_form (uncorrected) in eV per atom: -1.15
Calculated total energy in eV per atom: -4.4780
DOS at the Fermi energy in states/eV per atom: 0.000

The structure in CIF format:
```
data_TaTl2SCl5
_chemical_formula_sum 'Ta1 Tl2 S1 Cl5'
_cell_length_a 7.3118
_cell_length_b 7.3118
_cell_length_c 7.3118
_cell_angle_alpha 123.51
_cell_angle_beta 123.51
_cell_angle_gamma 84.02
_symmetry_space_group_name_H-M 'P 1'
_symmetry_Int_Tables_number 1
loop_
_symmetry_equiv_pos_as_xyz
'x,y,z'
loop_
_atom_site_label
_atom_site_type_symbol
_atom_site_fract_x
_atom_site_fract_y
_atom_site_fract_z
Ta1 Ta 0.0000 0.0000 0.0000
Tl1 Tl 0.2404 0.7404 0.5000
Tl2 Tl 0.7404 0.2404 0.5000
S1 S 0.2055 0.2055 0.0000
Cl1 Cl 0.2173 0.2173 0.4864
Cl2 Cl 0.2173 0.7310 0.0000
Cl3 Cl 0.7310 0.2173 0.0000
Cl4 Cl 0.7310 0.7310 0.5136
Cl5 Cl 0.7558 0.7558 0.0000
```

---

12.
A plane-wave DFT calculation with PBE-GGA was carried out for TaTlS2Cl after structural relaxation.

Properties
E_form (uncorrected) in eV per atom: -0.71
E above lowest polymorph in eV/atom: 0.000
Calculated total energy in eV per atom: -5.5735
DOS at the Fermi energy in states/eV per atom: 0.480

The structure in CIF format:
```
data_TaTlS2Cl
_chemical_formula_sum 'Ta1 Tl1 S2 Cl1'
_cell_length_a 4.8555
_cell_length_b 4.8555
_cell_length_c 4.9632
_cell_angle_alpha 90.00
_cell_angle_beta 90.00
_cell_angle_gamma 90.00
_symmetry_space_group_name_H-M 'P 1'
_symmetry_Int_Tables_number 1
loop_
_symmetry_equiv_pos_as_xyz
'x,y,z'
loop_
_atom_site_label
_atom_site_type_symbol
_atom_site_fract_x
_atom_site_fract_y
_atom_site_fract_z
Ta1 Ta 0.0000 0.0000 0.0000
Tl1 Tl 0.5000 0.5000 0.5000
S1 S 0.0000 0.5000 0.0000
S2 S 0.5000 0.0000 0.0000
Cl1 Cl 0.0000 0.0000 0.5000
```

---

Repeat the ninth record exactly.
A plane-wave DFT calculation with PBE-GGA was carried out for TaTiSCl2 after structural relaxation.

Properties
E_form (uncorrected) in eV per atom: 0.14
E above lowest polymorph in eV/atom: 0.000
Calculated total energy in eV per atom: -5.3741
DOS at the Fermi energy in states/eV per atom: 2.409

The structure in CIF format:
```
data_TaTiSCl2
_chemical_formula_sum 'Ta1 Ti1 S1 Cl2'
_cell_length_a 4.8339
_cell_length_b 4.8339
_cell_length_c 4.7908
_cell_angle_alpha 90.00
_cell_angle_beta 90.00
_cell_angle_gamma 90.00
_symmetry_space_group_name_H-M 'P 1'
_symmetry_Int_Tables_number 1
loop_
_symmetry_equiv_pos_as_xyz
'x,y,z'
loop_
_atom_site_label
_atom_site_type_symbol
_atom_site_fract_x
_atom_site_fract_y
_atom_site_fract_z
Ta1 Ta 0.0000 0.0000 0.0000
Ti1 Ti 0.5000 0.5000 0.5000
S1 S 0.0000 0.0000 0.5000
Cl1 Cl 0.0000 0.5000 0.0000
Cl2 Cl 0.5000 0.0000 0.0000
```